(1)
Here is a crystal of BaMo2Ir relaxed with PBEsol from Alexandria via LeMat-Bulk. Energies are from meta-GGA SCAN.

Computed properties:
* total magnetization: 0.00 μB/f.u.
* formation energy from the elements: 0.5759 eV per atom
* ΔE to the lowest computed polymorph: 18 meV/atom

Cell and atoms, written as CIF:
```
data_BaMo2Ir
_chemical_formula_sum 'Ba1 Mo2 Ir1'
_space_group_name_H-M_alt 'P 4/m m m'
_space_group_IT_number 123
_space_group_name_Hall '-P 4 2'
_cell_length_a 3.371
_cell_length_b 3.371
_cell_length_c 7.660
_cell_angle_alpha 90.00
_cell_angle_beta 90.00
_cell_angle_gamma 90.00
loop_
_atom_site_label
_atom_site_type_symbol
_atom_site_fract_x
_atom_site_fract_y
_atom_site_fract_z
_atom_site_occupancy
Ba1 Ba 0.000 0.000 0.000 1
Mo1 Mo 0.500 0.500 0.349 1
Ir1 Ir 0.000 0.000 0.500 1
```

(2)
Here is a crystal of BaMo2Ir relaxed with PBEsol from Alexandria via LeMat-Bulk. Energies are from meta-GGA SCAN.

Computed properties:
* total magnetization: 0.00 μB/f.u.
* formation energy from the elements: 0.5826 eV per atom
* ΔE to the lowest computed polymorph: 25 meV/atom

Cell and atoms, written as CIF:
```
data_BaMo2Ir
_chemical_formula_sum 'Ba2 Mo4 Ir2'
_space_group_name_H-M_alt 'C 1 m 1'
_space_group_IT_number 8
_space_group_name_Hall 'C -2y'
_cell_length_a 9.221
_cell_length_b 3.064
_cell_length_c 6.535
_cell_angle_alpha 90.00
_cell_angle_beta 103.65
_cell_angle_gamma 90.00
loop_
_atom_site_label
_atom_site_type_symbol
_atom_site_fract_x
_atom_site_fract_y
_atom_site_fract_z
_atom_site_occupancy
Ba1 Ba 0.000 0.000 0.000 1
Mo1 Mo 0.006 0.500 0.515 1
Mo2 Mo 0.299 0.500 0.381 1
Ir1 Ir 0.234 0.000 0.666 1
```

(3)
Here is a crystal of BaMo2Ir relaxed with PBEsol from Alexandria via LeMat-Bulk. Energies are from meta-GGA SCAN.

Computed properties:
* total magnetization: 0.00 μB/f.u.
* formation energy from the elements: 0.8077 eV per atom
* ΔE to the lowest computed polymorph: 250 meV/atom

Cell and atoms, written as CIF:
```
data_BaMo2Ir
_chemical_formula_sum 'Ba2 Mo4 Ir2'
_space_group_name_H-M_alt 'C m m m'
_space_group_IT_number 65
_space_group_name_Hall '-C 2 2'
_cell_length_a 3.994
_cell_length_b 4.060
_cell_length_c 9.480
_cell_angle_alpha 90.00
_cell_angle_beta 90.00
_cell_angle_gamma 90.00
loop_
_atom_site_label
_atom_site_type_symbol
_atom_site_fract_x
_atom_site_fract_y
_atom_site_fract_z
_atom_site_occupancy
Ba1 Ba 0.000 0.000 0.000 1
Mo1 Mo 0.000 0.500 0.305 1
Ir1 Ir 0.000 0.000 0.500 1
```

(4)
Here is a crystal of BaIrN2 relaxed with PBEsol from Alexandria via LeMat-Bulk. Energies are from meta-GGA SCAN.

Computed properties:
* total magnetization: 0.00 μB/f.u.
* uncorrected formation energy: 1365.9 meV per atom

Cell and atoms, written as CIF:
```
data_BaIrN2
_chemical_formula_sum 'Ba4 Ir4 N8'
_space_group_name_H-M_alt 'F m -3 m'
_space_group_IT_number 225
_space_group_name_Hall '-F 4 2 3'
_cell_length_a 6.066
_cell_length_b 6.066
_cell_length_c 6.066
_cell_angle_alpha 90.00
_cell_angle_beta 90.00
_cell_angle_gamma 90.00
loop_
_atom_site_label
_atom_site_type_symbol
_atom_site_fract_x
_atom_site_fract_y
_atom_site_fract_z
_atom_site_occupancy
Ba1 Ba 0.000 0.000 0.000 1
Ir1 Ir 0.000 0.000 0.500 1
N1 N 0.250 0.250 0.250 1
```

(5)
Here is a crystal of BaIrSe2N relaxed with PBEsol from Alexandria via LeMat-Bulk. Energies are from meta-GGA SCAN.

Computed properties:
* total magnetization: 0.00 μB/f.u.
* uncorrected formation energy: -587.6 meV per atom

Cell and atoms, written as CIF:
```
data_BaIrSe2N
_chemical_formula_sum 'Ba1 Ir1 Se2 N1'
_space_group_name_H-M_alt 'P 4/m m m'
_space_group_IT_number 123
_space_group_name_Hall '-P 4 2'
_cell_length_a 5.340
_cell_length_b 5.340
_cell_length_c 3.727
_cell_angle_alpha 90.00
_cell_angle_beta 90.00
_cell_angle_gamma 90.00
loop_
_atom_site_label
_atom_site_type_symbol
_atom_site_fract_x
_atom_site_fract_y
_atom_site_fract_z
_atom_site_occupancy
Ba1 Ba 0.000 0.000 0.000 1
Ir1 Ir 0.500 0.500 0.500 1
Se1 Se 0.000 0.500 0.500 1
N1 N 0.500 0.500 0.000 1
```

(6)
Here is a crystal of BaY2IrN relaxed with PBEsol from Alexandria via LeMat-Bulk. Energies are from meta-GGA SCAN.

Computed properties:
* total magnetization: 1.43 μB/f.u.
* uncorrected formation energy: 2332.5 meV per atom

Cell and atoms, written as CIF:
```
data_BaY2IrN
_chemical_formula_sum 'Ba1 Y2 Ir1 N1'
_space_group_name_H-M_alt 'P 4/m m m'
_space_group_IT_number 123
_space_group_name_Hall '-P 4 2'
_cell_length_a 5.566
_cell_length_b 5.566
_cell_length_c 4.867
_cell_angle_alpha 90.00
_cell_angle_beta 90.00
_cell_angle_gamma 90.00
loop_
_atom_site_label
_atom_site_type_symbol
_atom_site_fract_x
_atom_site_fract_y
_atom_site_fract_z
_atom_site_occupancy
Ba1 Ba 0.000 0.000 0.000 1
Y1 Y 0.000 0.500 0.000 1
Ir1 Ir 0.000 0.000 0.500 1
N1 N 0.500 0.500 0.500 1
```

(7)
Here is a crystal of BaNa2Ir relaxed with PBEsol from Alexandria via LeMat-Bulk. Energies are from meta-GGA SCAN.

Computed properties:
* total magnetization: 0.26 μB/f.u.
* formation energy from the elements: 0.3941 eV per atom

Cell and atoms, written as CIF:
```
data_BaNa2Ir
_chemical_formula_sum 'Ba4 Na8 Ir4'
_space_group_name_H-M_alt 'I -4 2 d'
_space_group_IT_number 122
_space_group_name_Hall 'I -4 2bw'
_cell_length_a 4.410
_cell_length_b 4.410
_cell_length_c 22.681
_cell_angle_alpha 90.00
_cell_angle_beta 90.00
_cell_angle_gamma 90.00
loop_
_atom_site_label
_atom_site_type_symbol
_atom_site_fract_x
_atom_site_fract_y
_atom_site_fract_z
_atom_site_occupancy
Ba1 Ba 0.000 0.000 0.000 1
Na1 Na 0.196 0.250 0.625 1
Ir1 Ir 0.000 0.000 0.500 1
```

(8)
Here is a crystal of Ba3NaIr2O9 relaxed with PBEsol from Alexandria via LeMat-Bulk. Energies are from meta-GGA SCAN.

Computed properties:
* total magnetization: 0.00 μB/f.u.
* uncorrected formation energy: -1925.2 meV per atom

Cell and atoms, written as CIF:
```
data_Ba3NaIr2O9
_chemical_formula_sum 'Ba6 Na2 Ir4 O18'
_space_group_name_H-M_alt 'P 63/m m c'
_space_group_IT_number 194
_space_group_name_Hall '-P 6c 2c'
_cell_length_a 5.8430
_cell_length_b 5.8430
_cell_length_c 14.4876
_cell_angle_alpha 90.00
_cell_angle_beta 90.00
_cell_angle_gamma 120.00
loop_
_atom_site_label
_atom_site_type_symbol
_atom_site_fract_x
_atom_site_fract_y
_atom_site_fract_z
_atom_site_occupancy
Ba1 Ba 0.0000 0.0000 0.2500 1
Ba2 Ba 0.3333 0.6667 0.0818 1
Na1 Na 0.0000 0.0000 0.0000 1
Ir1 Ir 0.3333 0.6667 0.6615 1
O1 O 0.0229 0.5115 0.7500 1
O2 O 0.1785 0.3569 0.5880 1
```

(9)
Here is a crystal of Ba3NaIrRuO9 relaxed with PBEsol from Alexandria via LeMat-Bulk. Energies are from meta-GGA SCAN.

Computed properties:
* total magnetization: 4.01 μB/f.u.
* uncorrected formation energy: -2036.6 meV per atom

Cell and atoms, written as CIF:
```
data_Ba3NaIrRuO9
_chemical_formula_sum 'Ba6 Na2 Ir2 Ru2 O18'
_space_group_name_H-M_alt 'P 63 m c'
_space_group_IT_number 186
_space_group_name_Hall 'P 6c -2c'
_cell_length_a 5.8578
_cell_length_b 5.8578
_cell_length_c 14.2694
_cell_angle_alpha 90.00
_cell_angle_beta 90.00
_cell_angle_gamma 120.00
loop_
_atom_site_label
_atom_site_type_symbol
_atom_site_fract_x
_atom_site_fract_y
_atom_site_fract_z
_atom_site_occupancy
Ba1 Ba 0.0000 0.0000 0.0000 1
Ba2 Ba 0.3333 0.6667 0.1607 1
Ba3 Ba 0.3333 0.6667 0.8358 1
Na1 Na 0.0000 0.0000 0.2495 1
Ir1 Ir 0.3333 0.6667 0.5851 1
Ru1 Ru 0.3333 0.6667 0.4101 1
O1 O 0.0154 0.5077 0.4994 1
O2 O 0.1786 0.3572 0.6594 1
O3 O 0.1796 0.3592 0.3402 1
```

(10)
Here is a crystal of BaNbReIr2 relaxed with PBEsol from Alexandria via LeMat-Bulk. Energies are from meta-GGA SCAN.

Computed properties:
* total magnetization: 3.39 μB/f.u.
* formation energy from the elements: 1.6271 eV per atom

Cell and atoms, written as CIF:
```
data_BaNbReIr2
_chemical_formula_sum 'Ba1 Nb1 Re1 Ir2'
_space_group_name_H-M_alt 'P 4/m m m'
_space_group_IT_number 123
_space_group_name_Hall '-P 4 2'
_cell_length_a 4.754
_cell_length_b 4.754
_cell_length_c 5.311
_cell_angle_alpha 90.00
_cell_angle_beta 90.00
_cell_angle_gamma 90.00
loop_
_atom_site_label
_atom_site_type_symbol
_atom_site_fract_x
_atom_site_fract_y
_atom_site_fract_z
_atom_site_occupancy
Ba1 Ba 0.000 0.000 0.000 1
Nb1 Nb 0.500 0.500 0.000 1
Re1 Re 0.000 0.000 0.500 1
Ir1 Ir 0.000 0.500 0.500 1
```

(11)
Here is a crystal of Ba3SrNd2Ir2O12 relaxed with PBEsol from Alexandria via LeMat-Bulk. Energies are from meta-GGA SCAN.

Computed properties:
* total magnetization: 4.01 μB/f.u.
* uncorrected formation energy: -2522.4 meV per atom

Cell and atoms, written as CIF:
```
data_Ba3SrNd2Ir2O12
_chemical_formula_sum 'Ba3 Sr1 Nd2 Ir2 O12'
_space_group_name_H-M_alt 'P 1'
_space_group_IT_number 1
_space_group_name_Hall 'P 1'
_cell_length_a 5.955
_cell_length_b 5.979
_cell_length_c 8.447
_cell_angle_alpha 89.06
_cell_angle_beta 89.97
_cell_angle_gamma 89.70
loop_
_atom_site_label
_atom_site_type_symbol
_atom_site_fract_x
_atom_site_fract_y
_atom_site_fract_z
_atom_site_occupancy
Ba1 Ba 0.000 0.000 0.000 1
Ba2 Ba 0.003 0.994 0.499 1
Ba3 Ba 0.504 0.496 0.998 1
Sr1 Sr 0.511 0.517 0.502 1
Nd1 Nd 0.006 0.496 0.250 1
Nd2 Nd 0.500 0.002 0.748 1
Ir1 Ir 0.505 0.997 0.251 1
Ir2 Ir 0.999 0.500 0.747 1
O1 O 0.031 0.475 0.979 1
O2 O 0.208 0.249 0.722 1
O3 O 0.247 0.794 0.255 1
O4 O 0.258 0.704 0.737 1
O5 O 0.309 0.259 0.284 1
O6 O 0.475 0.026 0.020 1
O7 O 0.534 0.959 0.481 1
O8 O 0.708 0.739 0.226 1
O9 O 0.741 0.296 0.750 1
O10 O 0.765 0.199 0.246 1
O11 O 0.793 0.754 0.774 1
O12 O 0.959 0.524 0.517 1
```

(12)
Here is a crystal of Ba2NiIr relaxed with PBEsol from Alexandria via LeMat-Bulk. Energies are from meta-GGA SCAN.

Computed properties:
* total magnetization: 0.37 μB/f.u.
* formation energy from the elements: -0.1082 eV per atom

Cell and atoms, written as CIF:
```
data_Ba2NiIr
_chemical_formula_sum 'Ba4 Ni2 Ir2'
_space_group_name_H-M_alt 'A m m 2'
_space_group_IT_number 38
_space_group_name_Hall 'A 2 -2'
_cell_length_a 4.438
_cell_length_b 4.761
_cell_length_c 10.754
_cell_angle_alpha 90.00
_cell_angle_beta 90.00
_cell_angle_gamma 90.00
loop_
_atom_site_label
_atom_site_type_symbol
_atom_site_fract_x
_atom_site_fract_y
_atom_site_fract_z
_atom_site_occupancy
Ba1 Ba 0.000 0.000 0.000 1
Ba2 Ba 0.500 0.000 0.293 1
Ni1 Ni 0.500 0.000 0.610 1
Ir1 Ir 0.000 0.000 0.681 1
```